Entry 1:
## Ag5Pt3 (PBEsol)

Data for an optimized crystal structure of Ag5Pt3.

abc: 2.794 2.794 16.245
angles: 90.00 90.00 90.00
Fractional coordinates of all 8 atoms:
Ag1 0.000 0.000 0.000
Ag2 0.000 0.000 0.256
Ag3 0.000 0.000 0.744
Ag4 0.500 0.500 0.128
Ag5 0.500 0.500 0.872
Pt1 0.000 0.000 0.500
Pt2 0.500 0.500 0.382
Pt3 0.500 0.500 0.618

Calculated values
E above lowest polymorph = 0.19 eV per formula unit
Total magnetic moment = 0.0 Bohr magnetons per cell
ΔE_f = 0.01 eV/atom
N(E_F) = 1.010 states/eV/atom

Entry 2:
## HfTa2Cu (PBEsol)

Data for an optimized crystal structure of HfTa2Cu.

abc: 4.554 4.554 4.554
angles: 60.00 60.00 60.00
Fractional coordinates of all 4 atoms:
Hf1 0.000 0.000 0.000
Ta1 0.250 0.250 0.250
Ta2 0.750 0.750 0.750
Cu1 0.500 0.500 0.500

Calculated values
Total magnetic moment = 0.0 Bohr magnetons per cell
ΔE_f = 0.32 eV/atom
N(E_F) = 0.853 states/eV/atom

Entry 3:
## Zn8Si (PBEsol)

Data for an optimized crystal structure of Zn8Si.

abc: 6.111 6.111 6.111
angles: 95.59 95.59 143.63
Fractional coordinates of all 9 atoms:
Zn1 0.000 0.335 0.335
Zn2 0.000 0.665 0.665
Zn3 0.333 0.333 0.665
Zn4 0.333 0.667 0.000
Zn5 0.335 0.000 0.335
Zn6 0.665 0.000 0.665
Zn7 0.667 0.333 0.000
Zn8 0.667 0.667 0.335
Si1 0.000 0.000 0.000

Calculated values
E_form (uncorrected) = 7 kJ per mole of atoms
Total magnetic moment = 0.0 Bohr magnetons per cell
N(E_F) = 0.267 states/eV/atom

Entry 4:
## PdWBr2 (PBEsol)

Data for an optimized crystal structure of PdWBr2.

abc: 4.556 4.556 4.556
angles: 60.00 60.00 60.00
Fractional coordinates of all 4 atoms:
Pd1 0.000 0.000 0.000
W1 0.500 0.500 0.500
Br1 0.250 0.250 0.250
Br2 0.750 0.750 0.750

Calculated values
E_form (uncorrected) = 86 kJ per mole of atoms
Total magnetic moment = 0.0 Bohr magnetons per cell
N(E_F) = 0.902 states/eV/atom

Entry 5:
## Zn3CrBi (PBEsol)

Data for an optimized crystal structure of Zn3CrBi.

abc: 5.330 5.330 5.330
angles: 90.00 90.00 90.00
Fractional coordinates of all 5 atoms:
Zn1 0.000 0.000 0.500
Zn2 0.000 0.500 0.000
Zn3 0.500 0.000 0.000
Cr1 0.500 0.500 0.500
Bi1 0.000 0.000 0.000

Calculated values
Total magnetic moment = 5.1 Bohr magnetons per cell
ΔE_f = 1.25 eV/atom
N(E_F) = 0.586 states/eV/atom

Entry 6:
## BeSi2Mo2 (PBEsol)

Data for an optimized crystal structure of BeSi2Mo2.

abc: 6.226 6.226 3.366
angles: 90.00 90.00 90.00
Fractional coordinates of all 10 atoms:
Be1 0.000 0.000 0.000
Be2 0.500 0.500 0.000
Si1 0.134 0.366 0.000
Si2 0.366 0.866 0.000
Si3 0.634 0.134 0.000
Si4 0.866 0.634 0.000
Mo1 0.169 0.669 0.500
Mo2 0.331 0.169 0.500
Mo3 0.669 0.831 0.500
Mo4 0.831 0.331 0.500

Calculated values
E_form (uncorrected) = -27 kJ per mole of atoms
Total magnetic moment = 0.0 Bohr magnetons per cell
N(E_F) = 0.166 states/eV/atom

Entry 7:
## GaAs2SeCl (PBEsol)

Data for an optimized crystal structure of GaAs2SeCl.

abc: 4.907 4.907 4.887
angles: 90.00 90.00 90.00
Fractional coordinates of all 5 atoms:
Ga1 0.000 0.000 0.000
As1 0.000 0.500 0.500
As2 0.500 0.000 0.500
Se1 0.500 0.500 0.000
Cl1 0.500 0.500 0.500

Calculated values
E_form (uncorrected) = 86 kJ per mole of atoms
Total magnetic moment = 0.0 Bohr magnetons per cell
N(E_F) = 1.224 states/eV/atom

Entry 8:
## Co2ReMo (PBEsol)

Data for an optimized crystal structure of Co2ReMo.

abc: 3.053 3.053 5.360
angles: 90.00 90.00 90.00
Fractional coordinates of all 4 atoms:
Co1 0.000 0.000 0.000
Co2 0.500 0.500 0.230
Re1 0.500 0.500 0.766
Mo1 0.000 0.000 0.464

Calculated values
E above lowest polymorph = 0.77 eV per formula unit
Total magnetic moment = 0.1 Bohr magnetons per cell
ΔE_f = 0.12 eV/atom
N(E_F) = 1.193 states/eV/atom

Entry 9:
## PrZn2 (PBEsol)

Data for an optimized crystal structure of PrZn2.

abc: 5.678 5.678 5.678
angles: 132.68 98.25 100.29
Fractional coordinates of all 6 atoms:
Pr1 0.300 0.050 0.250
Pr2 0.700 0.950 0.750
Zn1 0.099 0.664 0.436
Zn2 0.272 0.336 0.936
Zn3 0.728 0.664 0.064
Zn4 0.901 0.336 0.564

Calculated values
Total magnetic moment = 0.0 Bohr magnetons per cell
ΔE_f = -0.35 eV/atom
N(E_F) = 0.853 states/eV/atom

Entry 10:
## SrMgZn2Mo (PBEsol)

Data for an optimized crystal structure of SrMgZn2Mo.

abc: 4.919 4.919 5.091
angles: 90.00 90.00 90.00
Fractional coordinates of all 5 atoms:
Sr1 0.000 0.000 0.000
Mg1 0.500 0.500 0.000
Zn1 0.000 0.500 0.500
Zn2 0.500 0.000 0.500
Mo1 0.500 0.500 0.500

Calculated values
Total magnetic moment = 0.0 Bohr magnetons per cell
ΔE_f = 0.52 eV/atom
N(E_F) = 1.060 states/eV/atom

Entry 11:
## Tc2BiIrI (PBEsol)

Data for an optimized crystal structure of Tc2BiIrI.

abc: 5.042 5.042 5.775
angles: 90.00 90.00 90.00
Fractional coordinates of all 5 atoms:
Tc1 0.000 0.500 0.000
Tc2 0.500 0.000 0.000
Bi1 0.000 0.000 0.000
Ir1 0.500 0.500 0.500
I1 0.000 0.000 0.500

Calculated values
E_form (uncorrected) = 286 kJ per mole of atoms
Total magnetic moment = 7.0 Bohr magnetons per cell
N(E_F) = 1.666 states/eV/atom

Entry 12:
## KTa2Hg (PBEsol)

Data for an optimized crystal structure of KTa2Hg.

abc: 2.824 2.824 11.037
angles: 90.00 90.00 90.00
Fractional coordinates of all 4 atoms:
K1 0.000 0.000 0.000
Ta1 0.500 0.500 0.294
Ta2 0.500 0.500 0.706
Hg1 0.000 0.000 0.500

Calculated values
Total magnetic moment = 0.0 Bohr magnetons per cell
ΔE_f = 0.94 eV/atom
N(E_F) = 1.161 states/eV/atom

Entry 13:
## CaCu2Sb (PBEsol)

Data for an optimized crystal structure of CaCu2Sb.

abc: 3.320 3.320 6.911
angles: 90.00 90.00 90.00
Fractional coordinates of all 4 atoms:
Ca1 0.000 0.000 0.000
Cu1 0.000 0.000 0.424
Cu2 0.500 0.500 0.284
Sb1 0.500 0.500 0.665

Calculated values
E_form (uncorrected) = -6 kJ per mole of atoms
Total magnetic moment = 0.0 Bohr magnetons per cell
N(E_F) = 0.570 states/eV/atom

Entry 14:
## NaVS2O8 (PBEsol)

Data for an optimized crystal structure of NaVS2O8.

abc: 4.806 4.806 7.083
angles: 90.50 90.50 65.17
Fractional coordinates of all 12 atoms:
Na1 0.000 0.000 0.000
V1 0.000 0.000 0.500
S1 0.356 0.356 0.719
S2 0.644 0.644 0.281
O1 0.231 0.699 0.700
O2 0.238 0.238 0.557
O3 0.280 0.280 0.903
O4 0.301 0.769 0.300
O5 0.699 0.231 0.700
O6 0.720 0.720 0.097
O7 0.762 0.762 0.443
O8 0.769 0.301 0.300

Calculated values
E_form (uncorrected) = -164 kJ per mole of atoms
Total magnetic moment = 2.0 Bohr magnetons per cell
N(E_F) = 0.423 states/eV/atom

Entry 15:
## AlPPb2 (PBEsol)

Data for an optimized crystal structure of AlPPb2.

abc: 8.269 8.269 3.461
angles: 101.71 101.71 24.18
Fractional coordinates of all 4 atoms:
Al1 0.000 0.000 0.000
P1 0.500 0.500 0.500
Pb1 0.169 0.169 0.669
Pb2 0.831 0.831 0.331

Calculated values
E above lowest polymorph = 0.00 eV per formula unit
Total magnetic moment = 0.0 Bohr magnetons per cell
ΔE_f = -0.01 eV/atom
N(E_F) = 0.392 states/eV/atom

Entry 16:
## Ni2Se3 (PBEsol)

Data for an optimized crystal structure of Ni2Se3.

abc: 3.417 3.417 8.303
angles: 90.00 90.00 120.00
Fractional coordinates of all 5 atoms:
Ni1 0.333 0.667 0.310
Ni2 0.667 0.333 0.690
Se1 0.000 0.000 0.500
Se2 0.333 0.667 0.836
Se3 0.667 0.333 0.164

Calculated values
E_form (uncorrected) = -22 kJ per mole of atoms
Total magnetic moment = 0.0 Bohr magnetons per cell
N(E_F) = 0.854 states/eV/atom

Entry 17:
## TaPRhCl2 (PBEsol)

Data for an optimized crystal structure of TaPRhCl2.

abc: 4.625 4.625 4.934
angles: 90.00 90.00 90.00
Fractional coordinates of all 5 atoms:
Ta1 0.000 0.000 0.000
P1 0.000 0.000 0.500
Rh1 0.500 0.500 0.500
Cl1 0.000 0.500 0.000
Cl2 0.500 0.000 0.000

Calculated values
E_form (uncorrected) = 50 kJ per mole of atoms
Total magnetic moment = 1.6 Bohr magnetons per cell
N(E_F) = 1.693 states/eV/atom

Entry 18:
## Li5Y (PBEsol)

Data for an optimized crystal structure of Li5Y.

abc: 3.508 3.508 10.480
angles: 90.00 90.00 90.00
Fractional coordinates of all 6 atoms:
Li1 0.000 0.000 0.000
Li2 0.000 0.000 0.299
Li3 0.000 0.000 0.701
Li4 0.500 0.500 0.160
Li5 0.500 0.500 0.840
Y1 0.500 0.500 0.500

Calculated values
E above lowest polymorph = 0.00 eV per formula unit
Total magnetic moment = 0.0 Bohr magnetons per cell
ΔE_f = 0.07 eV/atom
N(E_F) = 0.820 states/eV/atom

Entry 19:
## Ag2F (PBEsol)

Data for an optimized crystal structure of Ag2F.

abc: 2.939 2.939 5.743
angles: 90.00 90.00 120.00
Fractional coordinates of all 3 atoms:
Ag1 0.333 0.667 0.192
Ag2 0.667 0.333 0.808
F1 0.000 0.000 0.500

Calculated values
E_form (uncorrected) = -66 kJ per mole of atoms
Total magnetic moment = 0.0 Bohr magnetons per cell
N(E_F) = 0.146 states/eV/atom

Entry 20:
## KCdMo (PBEsol)

Data for an optimized crystal structure of KCdMo.

abc: 5.300 5.300 5.300
angles: 60.00 60.00 60.00
Fractional coordinates of all 3 atoms:
K1 0.000 0.000 0.000
Cd1 0.750 0.750 0.750
Mo1 0.250 0.250 0.250

Calculated values
E above lowest polymorph = 1.03 eV per formula unit
Total magnetic moment = 5.1 Bohr magnetons per cell
ΔE_f = 2.05 eV/atom
N(E_F) = 0.381 states/eV/atom

Entry 21:
## MnOsRu2 (PBEsol)

Data for an optimized crystal structure of MnOsRu2.

abc: 2.791 4.389 4.398
angles: 90.00 90.00 90.00
Fractional coordinates of all 4 atoms:
Mn1 0.000 0.000 0.000
Os1 0.500 0.000 0.500
Ru1 0.000 0.500 0.500
Ru2 0.500 0.500 0.000

Calculated values
E above lowest polymorph = 1.27 eV per formula unit
Total magnetic moment = 2.9 Bohr magnetons per cell
ΔE_f = 0.43 eV/atom
N(E_F) = 1.439 states/eV/atom

Entry 22:
## RbZr2As3O12 (PBEsol)

Data for an optimized crystal structure of RbZr2As3O12.

abc: 9.876 9.876 9.876
angles: 54.81 54.81 54.81
Fractional coordinates of all 36 atoms:
Rb1 0.000 0.000 0.000
Rb2 0.500 0.500 0.500
Zr1 0.149 0.149 0.149
Zr2 0.351 0.351 0.351
Zr3 0.649 0.649 0.649
Zr4 0.851 0.851 0.851
As1 0.031 0.750 0.469
As2 0.250 0.531 0.969
As3 0.469 0.031 0.750
As4 0.531 0.969 0.250
As5 0.750 0.469 0.031
As6 0.969 0.250 0.531
O1 0.012 0.748 0.652
O2 0.065 0.709 0.932
O3 0.068 0.935 0.291
O4 0.152 0.248 0.512
O5 0.209 0.565 0.432
O6 0.248 0.512 0.152
O7 0.252 0.348 0.988
O8 0.291 0.068 0.935
O9 0.348 0.988 0.252
O10 0.432 0.209 0.565
O11 0.435 0.568 0.791
O12 0.488 0.848 0.752
O13 0.512 0.152 0.248
O14 0.565 0.432 0.209
O15 0.568 0.791 0.435
O16 0.652 0.012 0.748
O17 0.709 0.932 0.065
O18 0.748 0.652 0.012
O19 0.752 0.488 0.848
O20 0.791 0.435 0.568
O21 0.848 0.752 0.488
O22 0.932 0.065 0.709
O23 0.935 0.291 0.068
O24 0.988 0.252 0.348

Calculated values
E_form (uncorrected) = -201 kJ per mole of atoms
Total magnetic moment = 0.0 Bohr magnetons per cell
N(E_F) = 0.000 states/eV/atom

Entry 23:
## Tc2PtSe (PBEsol)

Data for an optimized crystal structure of Tc2PtSe.

abc: 8.847 8.847 8.847
angles: 18.34 18.34 18.34
Fractional coordinates of all 4 atoms:
Tc1 0.000 0.000 0.000
Tc2 0.253 0.253 0.253
Pt1 0.751 0.751 0.751
Se1 0.511 0.511 0.511

Calculated values
E_form (uncorrected) = 10 kJ per mole of atoms
Total magnetic moment = 0.0 Bohr magnetons per cell
N(E_F) = 1.156 states/eV/atom

Entry 24:
## Ba2IrBr (PBEsol)

Data for an optimized crystal structure of Ba2IrBr.

abc: 4.565 4.565 6.332
angles: 90.00 90.00 90.00
Fractional coordinates of all 4 atoms:
Ba1 0.000 0.000 0.000
Ba2 0.500 0.500 0.468
Ir1 0.500 0.500 0.016
Br1 0.000 0.000 0.501

Calculated values
E_form (uncorrected) = -66 kJ per mole of atoms
E above lowest polymorph = 0.38 eV per formula unit
Total magnetic moment = 0.0 Bohr magnetons per cell
N(E_F) = 0.735 states/eV/atom

Entry 25:
## AlPCl2 (PBEsol)

Data for an optimized crystal structure of AlPCl2.

abc: 6.644 6.644 6.644
angles: 97.32 97.32 138.16
Fractional coordinates of all 8 atoms:
Al1 0.000 0.000 0.000
Al2 0.750 0.250 0.500
P1 0.250 0.750 0.500
P2 0.500 0.500 0.000
Cl1 0.375 0.232 0.357
Cl2 0.768 0.125 0.143
Cl3 0.875 0.018 0.643
Cl4 0.982 0.625 0.857

Calculated values
E_form (uncorrected) = -18 kJ per mole of atoms
E above lowest polymorph = 0.00 eV per formula unit
Total magnetic moment = 3.9 Bohr magnetons per cell
N(E_F) = 0.238 states/eV/atom

Entry 26:
## CeAs12Ru4 (PBEsol)

Data for an optimized crystal structure of CeAs12Ru4.

abc: 7.339 7.339 7.339
angles: 109.47 109.47 109.47
Fractional coordinates of all 17 atoms:
Ce1 0.000 0.000 0.000
As1 0.150 0.347 0.497
As2 0.150 0.653 0.803
As3 0.197 0.850 0.347
As4 0.347 0.197 0.850
As5 0.347 0.497 0.150
As6 0.497 0.150 0.347
As7 0.503 0.850 0.653
As8 0.653 0.503 0.850
As9 0.653 0.803 0.150
As10 0.803 0.150 0.653
As11 0.850 0.347 0.197
As12 0.850 0.653 0.503
Ru1 0.000 0.000 0.500
Ru2 0.000 0.500 0.000
Ru3 0.500 0.000 0.000
Ru4 0.500 0.500 0.500

Calculated values
Total magnetic moment = 0.2 Bohr magnetons per cell
ΔE_f = -0.50 eV/atom
N(E_F) = 0.135 states/eV/atom